Zn2AsP meta-GGA SCAN single point on PBEsol structure; calculated formation energy = 1.8 eV per formula unit; symmetry = Fm-3m; energy relative to the lowest polymorph listed for this composition = 9.1 kJ per mole of atoms
1.0
0.000 3.167 3.167
3.167 0.000 3.167
3.167 3.167 0.000
Zn As P
2 1 1
Cartesian
1.583 1.583 1.583
4.750 4.750 4.750
0.000 0.000 0.000
3.167 3.167 3.167

=====

BeNb2Cd meta-GGA SCAN single point on PBEsol structure; calculated formation energy = 1.5 eV per formula unit; symmetry = Fm-3m
1.0
0.000 3.190 3.190
3.190 0.000 3.190
3.190 3.190 0.000
Be Nb Cd
1 2 1
Cartesian
0.000 0.000 0.000
1.595 1.595 1.595
4.785 4.785 4.785
3.190 3.190 3.190

=====

LaAlTlF2 meta-GGA SCAN single point on PBEsol structure; formation energy (no corrections) = -1981 meV/atom; symmetry = P4/mmm
1.0
4.454 0.000 0.000
0.000 4.454 0.000
0.000 0.000 6.911
La Al Tl F
1 1 1 2
Cartesian
0.000 0.000 0.000
2.227 2.227 3.456
0.000 0.000 3.456
0.000 2.227 0.000
2.227 0.000 0.000

=====

TaTe3Au meta-GGA SCAN single point on PBEsol structure; formation energy (no corrections) = 558 meV/atom; symmetry = Pm-3m
1.0
5.293 0.000 0.000
0.000 5.293 0.000
0.000 0.000 5.293
Ta Te Au
1 3 1
Cartesian
0.000 0.000 0.000
0.000 0.000 2.646
0.000 2.646 0.000
2.646 0.000 0.000
2.646 2.646 2.646

=====

GeWF3 meta-GGA SCAN single point on PBEsol structure; formation energy (no corrections) = -736 meV/atom; symmetry = Pm-3m; energy relative to the lowest polymorph listed for this composition = 0.0 kJ per mole of atoms
1.0
4.165 0.000 0.000
0.000 4.165 0.000
0.000 0.000 4.165
Ge W F
1 1 3
Cartesian
0.000 0.000 0.000
2.083 2.083 2.083
0.000 2.083 2.083
2.083 0.000 2.083
2.083 2.083 0.000

=====

AsPb2Br meta-GGA SCAN single point on PBEsol structure; formation energy (no corrections) = 164 meV/atom; symmetry = F-43m; energy relative to the lowest polymorph listed for this composition = 54.3 kJ per mole of atoms
1.0
0.000 3.710 3.710
3.710 0.000 3.710
3.710 3.710 0.000
As Pb Br
1 2 1
Cartesian
0.000 0.000 0.000
3.710 3.710 3.710
5.565 5.565 5.565
1.855 1.855 1.855

=====

In2Ga2Hg meta-GGA SCAN single point on PBEsol structure; calculated formation energy = 0.4 eV per formula unit; symmetry = I4/mmm; energy relative to the lowest polymorph listed for this composition = 0.0 kJ per mole of atoms
1.0
-1.915 1.915 7.725
1.915 -1.915 7.725
1.915 1.915 -7.725
In Ga Hg
2 2 1
Cartesian
0.000 0.000 1.578
0.000 0.000 13.871
1.915 0.000 3.862
0.000 1.915 3.862
0.000 0.000 7.725

=====

SrOs2Br2 meta-GGA SCAN single point on PBEsol structure; formation energy (no corrections) = 463 meV/atom; symmetry = I4/mmm
1.0
-2.256 2.256 5.375
2.256 -2.256 5.375
2.256 2.256 -5.375
Sr Os Br
1 2 2
Cartesian
0.000 0.000 0.000
0.000 0.000 4.259
0.000 0.000 6.491
2.256 0.000 2.688
0.000 2.256 2.688

=====

Tc2PIr2 meta-GGA SCAN single point on PBEsol structure; calculated formation energy = 1.7 eV per formula unit; symmetry = I4/mmm
1.0
-1.743 1.743 6.369
1.743 -1.743 6.369
1.743 1.743 -6.369
Tc P Ir
2 1 2
Cartesian
0.000 0.000 1.252
0.000 0.000 11.485
0.000 0.000 6.369
1.743 0.000 3.184
0.000 1.743 3.184

=====

LiYSi2 meta-GGA SCAN single point on PBEsol structure; formation energy (no corrections) = -226 meV/atom; symmetry = Cmmm; energy relative to the lowest polymorph listed for this composition = 26.3 kJ per mole of atoms
1.0
2.913 -4.004 0.000
2.913 4.004 0.000
0.000 0.000 3.109
Li Y Si
1 1 2
Cartesian
0.000 0.000 0.000
2.913 0.000 0.000
1.456 2.002 1.554
1.456 -2.002 1.554

=====

Cr2HgS2 meta-GGA SCAN single point on PBEsol structure; formation energy (no corrections) = 121 meV/atom; symmetry = I4/mmm
1.0
-2.255 2.255 3.829
2.255 -2.255 3.829
2.255 2.255 -3.829
Cr Hg S
2 1 2
Cartesian
0.000 0.000 0.940
0.000 0.000 6.718
0.000 0.000 3.829
2.255 0.000 1.914
0.000 2.255 1.914

=====

Sc3Ta meta-GGA SCAN single point on PBEsol structure; calculated formation energy = 1.1 eV per formula unit; symmetry = Fm-3m; energy relative to the lowest polymorph listed for this composition = 13.6 kJ per mole of atoms
1.0
0.000 3.470 3.470
3.470 0.000 3.470
3.470 3.470 0.000
Sc Ta
3 1
Cartesian
0.000 0.000 0.000
1.735 1.735 1.735
5.205 5.205 5.205
3.470 3.470 3.470

=====

Number 1: N(E_F) 1.9 states/eV/f.u.. Number 2: N(E_F) 3.7 states/eV/f.u.. Number 3: N(E_F) 1.9 states/eV/f.u.. Number 4: N(E_F) 4.5 states/eV/f.u.. Number 5: N(E_F) 2.3 states/eV/f.u.. Number 6: N(E_F) 2.0 states/eV/f.u.. Number 7: N(E_F) 2.1 states/eV/f.u.. Number 8: N(E_F) 3.1 states/eV/f.u.. Number 9: N(E_F) 3.7 states/eV/f.u.. Number 10: N(E_F) 1.4 states/eV/f.u.. Number 11: N(E_F) 2.4 states/eV/f.u.. Number 12: N(E_F) 5.2 states/eV/f.u..